## CdOs2I2 (GGA-PBE)

Data for a relaxed structure of CdOs2I2.

The density of states at the Fermi level is 4.03 states/eV/f.u. The calculation puts the size of the total moment at 0.00 Bohr magnetons per cell.

The structure belongs to space group I4/mmm (No. 139); the cell edges are 4.1465, 4.1465 and 16.1954 Å and the angles 90.00°, 90.00° and 90.00°. The distinct sites, in fractional coordinates, are Cd at (0.0000, 0.0000, 0.0000), Os at (0.0000, 0.5000, 0.2500) and I at (0.0000, 0.0000, 0.3482).



## CdOs3I (GGA-PBE)

Data for a relaxed structure of CdOs3I.

The density of states at the Fermi level is 6.73 states/eV/f.u. The calculation puts the size of the total moment at 0.00 Bohr magnetons per cell.

The structure belongs to space group Pm-3m (No. 221); the cell edges are 4.8164, 4.8164 and 4.8164 Å and the angles 90.00°, 90.00° and 90.00°. The distinct sites, in fractional coordinates, are Cd at (0.0000, 0.0000, 0.0000), Os at (0.0000, 0.5000, 0.5000) and I at (0.5000, 0.5000, 0.5000).



## Cd3OsI (GGA-PBE)

Data for a relaxed structure of Cd3OsI.

The density of states at the Fermi level is 10.73 states/eV/f.u. The calculation puts the size of the total moment at 1.44 Bohr magnetons per cell.

The structure belongs to space group Pm-3m (No. 221); the cell edges are 5.3388, 5.3388 and 5.3388 Å and the angles 90.00°, 90.00° and 90.00°. The distinct sites, in fractional coordinates, are Cd at (0.0000, 0.0000, 0.5000), Os at (0.0000, 0.0000, 0.0000) and I at (0.5000, 0.5000, 0.5000).



## CdOsPb2I (GGA-PBE)

Data for a relaxed structure of CdOsPb2I.

The density of states at the Fermi level is 5.18 states/eV/f.u. The calculation puts the size of the total moment at 2.63 Bohr magnetons per cell.

The structure belongs to space group P4/mmm (No. 123); the cell edges are 5.5812, 5.5812 and 5.5859 Å and the angles 90.00°, 90.00° and 90.00°. The distinct sites, in fractional coordinates, are Cd at (0.0000, 0.0000, 0.0000), Os at (0.5000, 0.5000, 0.5000), Pb at (0.0000, 0.5000, 0.0000) and I at (0.0000, 0.0000, 0.5000).



## CdOsPbI2 (GGA-PBE)

Data for a relaxed structure of CdOsPbI2.

The density of states at the Fermi level is 4.62 states/eV/f.u. The calculation puts the size of the total moment at 3.63 Bohr magnetons per cell.

The structure belongs to space group P4/mmm (No. 123); the cell edges are 5.7909, 5.7909 and 5.8294 Å and the angles 90.00°, 90.00° and 90.00°. The distinct sites, in fractional coordinates, are Cd at (0.0000, 0.0000, 0.0000), Os at (0.5000, 0.5000, 0.5000), Pb at (0.0000, 0.0000, 0.5000) and I at (0.0000, 0.5000, 0.0000).



## RbCdOsI2 (GGA-PBE)

Data for a relaxed structure of RbCdOsI2.

The density of states at the Fermi level is 3.32 states/eV/f.u. The calculation puts the size of the total moment at 1.62 Bohr magnetons per cell.

The structure belongs to space group P4/mmm (No. 123); the cell edges are 5.3573, 5.3573 and 6.7022 Å and the angles 90.00°, 90.00° and 90.00°. The distinct sites, in fractional coordinates, are Rb at (0.0000, 0.0000, 0.0000), Cd at (0.5000, 0.5000, 0.0000), Os at (0.0000, 0.0000, 0.5000) and I at (0.0000, 0.5000, 0.5000).



## CdSb2OsI (GGA-PBE)

Data for a relaxed structure of CdSb2OsI.

The density of states at the Fermi level is 4.41 states/eV/f.u. The calculation puts the size of the total moment at 0.00 Bohr magnetons per cell.

The structure belongs to space group P4/mmm (No. 123); the cell edges are 5.0869, 5.0869 and 5.9196 Å and the angles 90.00°, 90.00° and 90.00°. The distinct sites, in fractional coordinates, are Cd at (0.0000, 0.0000, 0.0000), Sb at (0.0000, 0.5000, 0.5000), Os at (0.5000, 0.5000, 0.5000) and I at (0.5000, 0.5000, 0.0000).



## CdSbOsI2 (GGA-PBE)

Data for a relaxed structure of CdSbOsI2.

The density of states at the Fermi level is 6.28 states/eV/f.u. The calculation puts the size of the total moment at 0.00 Bohr magnetons per cell.

The structure belongs to space group P4/mmm (No. 123); the cell edges are 5.6194, 5.6194 and 5.0457 Å and the angles 90.00°, 90.00° and 90.00°. The distinct sites, in fractional coordinates, are Cd at (0.0000, 0.0000, 0.0000), Sb at (0.5000, 0.5000, 0.0000), Os at (0.5000, 0.5000, 0.5000) and I at (0.0000, 0.5000, 0.5000).



## CdSb2OsI (GGA-PBE)

Data for a relaxed structure of CdSb2OsI.

The density of states at the Fermi level is 5.64 states/eV/f.u. The calculation puts the size of the total moment at 2.65 Bohr magnetons per cell.

The structure belongs to space group P4/mmm (No. 123); the cell edges are 5.4804, 5.4804 and 5.6227 Å and the angles 90.00°, 90.00° and 90.00°. The distinct sites, in fractional coordinates, are Cd at (0.0000, 0.0000, 0.0000), Sb at (0.0000, 0.5000, 0.0000), Os at (0.5000, 0.5000, 0.5000) and I at (0.0000, 0.0000, 0.5000).



## SrCd2OsI (GGA-PBE)

Data for a relaxed structure of SrCd2OsI.

The density of states at the Fermi level is 3.79 states/eV/f.u. The calculation puts the size of the total moment at 0.93 Bohr magnetons per cell.

The structure belongs to space group P4/mmm (No. 123); the cell edges are 5.9144, 5.9144 and 4.8920 Å and the angles 90.00°, 90.00° and 90.00°. The distinct sites, in fractional coordinates, are Sr at (0.0000, 0.0000, 0.0000), Cd at (0.0000, 0.5000, 0.5000), Os at (0.5000, 0.5000, 0.0000) and I at (0.5000, 0.5000, 0.5000).



## CdTeOsI2 (GGA-PBE)

Data for a relaxed structure of CdTeOsI2.

The density of states at the Fermi level is 4.26 states/eV/f.u. The calculation puts the size of the total moment at 0.00 Bohr magnetons per cell.

The structure belongs to space group P4/mmm (No. 123); the cell edges are 5.6553, 5.6553 and 5.0215 Å and the angles 90.00°, 90.00° and 90.00°. The distinct sites, in fractional coordinates, are Cd at (0.0000, 0.0000, 0.0000), Te at (0.5000, 0.5000, 0.0000), Os at (0.5000, 0.5000, 0.5000) and I at (0.0000, 0.5000, 0.5000).



## CdTe2OsI (GGA-PBE)

Data for a relaxed structure of CdTe2OsI.

The density of states at the Fermi level is 6.30 states/eV/f.u. The calculation puts the size of the total moment at 0.00 Bohr magnetons per cell.

The structure belongs to space group P4/mmm (No. 123); the cell edges are 5.1995, 5.1995 and 5.7466 Å and the angles 90.00°, 90.00° and 90.00°. The distinct sites, in fractional coordinates, are Cd at (0.0000, 0.0000, 0.0000), Te at (0.0000, 0.5000, 0.5000), Os at (0.5000, 0.5000, 0.5000) and I at (0.5000, 0.5000, 0.0000).



| no. | VASP energy (eV per cell) |
| --- | --- |
| 1 | -42.37 |
| 2 | -23.25 |
| 3 | -11.91 |
| 4 | -13.15 |
| 5 | -11.75 |
| 6 | -13.73 |
| 7 | -19.12 |
| 8 | -16.42 |
| 9 | -13.06 |
| 10 | -10.95 |
| 11 | -15.71 |
| 12 | -17.11 |